LiDyCoPb | GGA-PBE | relaxed

Results
Space-group type = F-43m
Magnetic moment = 0.791 μB per formula unit
D(E_F) = 3.803 states/eV/cell
Energy of formation = -0.20 eV per atom

Cell lengths 4.702, 4.702, 4.702 Å; angles 60.00, 60.00, 60.00 degrees
Last column: magnetic moment on the atom in μB.
Atoms (fractional coordinates):
Li 0.000 0.000 0.000  -0.01
Dy 0.750 0.750 0.750  -0.01
Co 0.500 0.500 0.500  0.74
Pb 0.250 0.250 0.250  0.03